Entry 1:
VASP calculation (PBE) on a geometry-optimized PmHo2Al structure.

- ΔE_f (eV per atom) = -0.1961
- N(E_F) (states/eV per atom) = 0.80
- energy relative to the lowest polymorph listed for this composition (eV/atom) = 0.0000

a = 3.5199 Å, b = 3.5199 Å, c = 9.0531 Å
α = 90.00°, β = 90.00°, γ = 90.00°
Sites, in units of the cell vectors:
Pm 0.0000 0.0000 0.0000
Ho 0.5000 0.5000 0.2899
Ho 0.5000 0.5000 0.7101
Al 0.0000 0.0000 0.5000

Entry 2:
VASP calculation (PBE) on a geometry-optimized PrNd3Sn2 structure.

- ΔE_f (eV per atom) = -0.5701
- N(E_F) (states/eV per atom) = 1.36
- energy relative to the lowest polymorph listed for this composition (eV/atom) = 0.0000

a = 4.6653 Å, b = 4.6653 Å, c = 8.8803 Å
α = 90.00°, β = 90.00°, γ = 90.00°
Sites, in units of the cell vectors:
Pr 0.0000 0.0000 0.0000
Nd 0.0000 0.5000 0.3520
Nd 0.5000 0.0000 0.6480
Nd 0.5000 0.5000 0.0000
Sn 0.0000 0.5000 0.7192
Sn 0.5000 0.0000 0.2808

Entry 3:
VASP calculation (PBE) on a geometry-optimized LiLaErAl structure.

- ΔE_f (eV per atom) = -0.1905
- N(E_F) (states/eV per atom) = 1.00

a = 5.2659 Å, b = 5.2659 Å, c = 5.2659 Å
α = 60.00°, β = 60.00°, γ = 60.00°
Sites, in units of the cell vectors:
Li 0.0000 0.0000 0.0000
La 0.2500 0.2500 0.2500
Er 0.7500 0.7500 0.7500
Al 0.5000 0.5000 0.5000

Entry 4:
VASP calculation (PBE) on a geometry-optimized TeHS2 structure.

- N(E_F) (states/eV per atom) = 0.38
- energy relative to the lowest polymorph listed for this composition (eV/atom) = 0.7926

a = 4.5650 Å, b = 4.5650 Å, c = 4.5650 Å
α = 60.00°, β = 60.00°, γ = 60.00°
Sites, in units of the cell vectors:
Te 0.0000 0.0000 0.0000
H 0.5000 0.5000 0.5000
S 0.2500 0.2500 0.2500
S 0.7500 0.7500 0.7500

Entry 5:
VASP calculation (PBE) on a geometry-optimized SrLuPdPt structure.

- ΔE_f (eV per atom) = -0.7967
- N(E_F) (states/eV per atom) = 0.80

a = 5.0118 Å, b = 5.0118 Å, c = 5.0118 Å
α = 60.00°, β = 60.00°, γ = 60.00°
Sites, in units of the cell vectors:
Sr 0.0000 0.0000 0.0000
Lu 0.5000 0.5000 0.5000
Pd 0.2500 0.2500 0.2500
Pt 0.7500 0.7500 0.7500

Entry 6:
VASP calculation (PBE) on a geometry-optimized AcEr2Bi structure.

- ΔE_f (eV per atom) = 0.0788
- N(E_F) (states/eV per atom) = 0.61
- energy relative to the lowest polymorph listed for this composition (eV/atom) = 0.3849

a = 12.3644 Å, b = 12.3644 Å, c = 12.3644 Å
α = 16.97°, β = 16.97°, γ = 16.97°
Sites, in units of the cell vectors:
Ac 0.0000 0.0000 0.0000
Er 0.4145 0.4145 0.4145
Er 0.5855 0.5855 0.5855
Bi 0.5000 0.5000 0.5000

Question: Which value of N(E_F) does entry 1 give?
Answer: 0.80 states/eV per atom

Question: Among the records above, which one has the highest N(E_F)?
Answer: PrNd3Sn2

Question: Which of these has the highest N(E_F)?
Answer: PrNd3Sn2